No. 1
{
  "formula": "RbLaZr2Ag",
  "functional": "PBE-GGA",
  "state": "optimized geometry",
  "space_group": "No. 123",
  "e_form_ev_per_atom": 1.80,
  "lattice_angstrom": [[5.1500, 0.0000, 0.0000], [0.0000, 5.1500, 0.0000], [0.0000, 0.0000, 5.5648]],
  "species": ["Rb", "La", "Zr", "Zr", "Ag"],
  "fractional_positions": [[0.0000, 0.0000, 0.0000], [0.0000, 0.0000, 0.5000], [0.0000, 0.5000, 0.0000], [0.5000, 0.0000, 0.0000], [0.5000, 0.5000, 0.5000]]
}

No. 2
{
  "formula": "Cr6CN2",
  "functional": "PBE-GGA",
  "state": "optimized geometry",
  "space_group": "No. 164",
  "raw_formation_energy_ev_per_atom": -0.267,
  "lattice_angstrom": [[8.3845, 0.0000, 0.0000], [-4.1923, 7.2612, 0.0000], [0.0000, 0.0000, 4.3365]],
  "species": ["Cr", "Cr", "Cr", "Cr", "Cr", "Cr", "Cr", "Cr", "Cr", "Cr", "Cr", "Cr", "Cr", "Cr", "Cr", "Cr", "Cr", "Cr", "C", "C", "C", "N", "N", "N", "N", "N", "N"],
  "fractional_positions": [[0.1106, 0.2213, 0.2561], [0.1110, 0.5555, 0.2469], [0.1106, 0.8894, 0.2561], [0.2213, 0.1106, 0.7439], [0.2234, 0.4467, 0.7543], [0.2234, 0.7766, 0.7543], [0.4445, 0.5555, 0.2469], [0.4445, 0.8890, 0.2469], [0.4467, 0.2234, 0.2457], [0.5533, 0.7766, 0.7543], [0.5555, 0.1110, 0.7531], [0.5555, 0.4445, 0.7531], [0.7766, 0.2234, 0.2457], [0.7766, 0.5533, 0.2457], [0.7787, 0.8894, 0.2561], [0.8894, 0.1106, 0.7439], [0.8890, 0.4445, 0.7531], [0.8894, 0.7787, 0.7439], [0.0000, 0.0000, 0.0000], [0.3333, 0.6667, 0.4984], [0.6667, 0.3333, 0.5016], [0.0000, 0.3345, 0.0000], [0.0000, 0.6655, 0.0000], [0.3345, 0.0000, 0.0000], [0.3345, 0.3345, 0.0000], [0.6655, 0.0000, 0.0000], [0.6655, 0.6655, 0.0000]]
}